## KMg30CoO32 (GGA-PBEsol)

Data for KMg30CoO32 after structural relaxation. Values from VASP.

Values from the calculation:
Its density is 3642 kg/m³. The total magnetic moment comes out at 0.00 μB/atom. Its uncorrected formation energy is -2604 meV/atom.

```
&SYSTEM
  ibrav = 0, nat = 64, ntyp = 4
/
ATOMIC_SPECIES
K 39.10 K.upf
Mg 24.30 Mg.upf
Co 58.93 Co.upf
O 16.00 O.upf
CELL_PARAMETERS angstrom
-5.9367 -5.2382 -3.0147
-0.8260 -3.4917 7.6937
-5.9996 5.6854 1.9362
ATOMIC_POSITIONS crystal
K 0.5000 0.0000 0.0000
Mg 0.0000 0.5000 0.0000
Mg 0.5000 0.5000 0.0000
Mg 0.0000 0.0000 0.5000
Mg 0.5000 0.0000 0.5000
Mg 0.0000 0.5000 0.5000
Mg 0.5000 0.5000 0.5000
Mg 0.2505 0.2510 0.0000
Mg 0.7495 0.2510 0.0000
Mg 0.2505 0.7490 0.0000
Mg 0.7495 0.7490 0.0000
Mg 0.2507 0.2500 0.5000
Mg 0.7493 0.2500 0.5000
Mg 0.2507 0.7500 0.5000
Mg 0.7493 0.7500 0.5000
Mg 0.2505 0.0000 0.2510
Mg 0.7495 0.0000 0.2510
Mg 0.2507 0.5000 0.2500
Mg 0.7493 0.5000 0.2500
Mg 0.2505 0.0000 0.7490
Mg 0.7495 0.0000 0.7490
Mg 0.2507 0.5000 0.7500
Mg 0.7493 0.5000 0.7500
Mg 0.0000 0.2489 0.2489
Mg 0.5000 0.2515 0.2515
Mg 0.0000 0.7511 0.2489
Mg 0.5000 0.7485 0.2515
Mg 0.0000 0.2489 0.7511
Mg 0.5000 0.2515 0.7485
Mg 0.0000 0.7511 0.7511
Mg 0.5000 0.7485 0.7485
Co 0.0000 0.0000 0.0000
O 0.0000 0.0000 0.2370
O 0.5000 0.0000 0.2730
O 0.0000 0.5000 0.2480
O 0.5000 0.5000 0.2538
O 0.0000 0.0000 0.7630
O 0.5000 0.0000 0.7270
O 0.0000 0.5000 0.7520
O 0.5000 0.5000 0.7462
O 0.2492 0.2494 0.2494
O 0.7508 0.2494 0.2494
O 0.2492 0.7506 0.2494
O 0.7508 0.7506 0.2494
O 0.2492 0.2494 0.7506
O 0.7508 0.2494 0.7506
O 0.2492 0.7506 0.7506
O 0.7508 0.7506 0.7506
O 0.2222 0.0000 0.0000
O 0.7778 0.0000 0.0000
O 0.2417 0.5000 0.0000
O 0.7583 0.5000 0.0000
O 0.2417 0.0000 0.5000
O 0.7583 0.0000 0.5000
O 0.2473 0.5000 0.5000
O 0.7527 0.5000 0.5000
O 0.0000 0.2370 0.0000
O 0.5000 0.2730 0.0000
O 0.0000 0.7630 0.0000
O 0.5000 0.7270 0.0000
O 0.0000 0.2480 0.5000
O 0.5000 0.2538 0.5000
O 0.0000 0.7520 0.5000
O 0.5000 0.7462 0.5000
```

---

## Al4Ag3 (GGA-PBEsol)

Data for Al4Ag3 after structural relaxation. Values from VASP.

Values from the calculation:
As for the electronic total energy: -3.78 eV/atom. Its density is 6267 kg/m³. The total magnetic moment comes out at 0.00 μB/atom.

```
&SYSTEM
  ibrav = 0, nat = 7, ntyp = 2
/
ATOMIC_SPECIES
Al 26.98 Al.upf
Ag 107.87 Ag.upf
CELL_PARAMETERS angstrom
4.0296 -0.1887 0.0938
-2.0600 4.4909 -0.0057
0.1904 -0.9718 6.4522
ATOMIC_POSITIONS crystal
Al 0.2920 0.0717 0.8596
Al 0.7080 0.9283 0.1404
Al 0.1389 0.7850 0.4225
Al 0.8611 0.2150 0.5775
Ag 0.5903 0.6474 0.7106
Ag 0.0000 0.5000 0.0000
Ag 0.4097 0.3526 0.2894
```

---

## NiAg3B (GGA-PBEsol)

Data for NiAg3B after structural relaxation. Values from VASP.

Values from the calculation:
As for the electronic total energy: -3.96 eV/atom. Its density is 8860 kg/m³. The total magnetic moment comes out at 0.00 μB/atom.

```
&SYSTEM
  ibrav = 0, nat = 5, ntyp = 3
/
ATOMIC_SPECIES
Ni 58.69 Ni.upf
B 10.81 B.upf
Ag 107.87 Ag.upf
CELL_PARAMETERS angstrom
4.1923 0.0000 0.0000
0.0000 4.1923 0.0000
0.0000 0.0000 4.1923
ATOMIC_POSITIONS crystal
Ni 0.5000 0.5000 0.5000
B 0.0000 0.0000 0.0000
Ag 0.0000 0.5000 0.0000
Ag 0.0000 0.0000 0.5000
Ag 0.5000 0.0000 0.0000
```